[1]
Computed, not measured: a relaxed BaBeIn2 crystal at the GGA-PBEsol level of DFT.

Lattice parameters (Å, degrees): 4.4030 4.4030 6.9430 71.51 71.51 60.00
Fractional coordinates of all 4 atoms:
Be (0.5000, 0.5000, 0.5000)
Ba (0.0000, 0.0000, 0.0000)
In (0.7904, 0.7904, 0.6287)
In (0.2096, 0.2096, 0.3713)

Summary:
- energy of formation (eV per atom) = -0.098
- SG = R-3m, No. 166

[2]
Computed, not measured: a relaxed BaBe2Ir2 crystal at the GGA-PBEsol level of DFT.

Lattice parameters (Å, degrees): 4.1275 4.1275 5.7058 111.20 111.20 90.00
Fractional coordinates of all 5 atoms:
Be (0.2500, 0.7500, 0.5000)
Be (0.7500, 0.2500, 0.5000)
Ir (0.3695, 0.3695, 0.7389)
Ir (0.6305, 0.6305, 0.2611)
Ba (0.0000, 0.0000, 0.0000)

Summary:
- energy of formation (eV per atom) = -0.055
- SG = I4/mmm, No. 139

[3]
Computed, not measured: a relaxed Ba4BeIr crystal at the GGA-PBEsol level of DFT.

Lattice parameters (Å, degrees): 6.5894 6.5894 6.5894 60.00 60.00 60.00
Fractional coordinates of all 6 atoms:
Ba (0.3743, 0.3743, 0.3743)
Ba (0.3743, 0.3743, 0.8773)
Ba (0.8773, 0.3743, 0.3743)
Ba (0.3743, 0.8773, 0.3743)
Be (0.7500, 0.7500, 0.7500)
Ir (0.0000, 0.0000, 0.0000)

Summary:
- energy of formation (eV per atom) = 1.229
- SG = F-43m, No. 216

[4]
Computed, not measured: a relaxed BaBe2Ir crystal at the GGA-PBEsol level of DFT.

Lattice parameters (Å, degrees): 4.2992 4.7617 4.2992 63.16 90.00 116.84
Fractional coordinates of all 4 atoms:
Be (0.2500, 0.5000, 0.2500)
Be (0.7500, 0.5000, 0.7500)
Ir (0.5000, 0.0000, 0.5000)
Ba (0.0000, 0.0000, 0.0000)

Summary:
- energy of formation (eV per atom) = 0.686
- offset from the most stable computed form (meV per atom) = 629
- SG = I4/mmm, No. 139

[5]
Computed, not measured: a relaxed BaBeIr2 crystal at the GGA-PBEsol level of DFT.

Lattice parameters (Å, degrees): 2.9716 2.9716 7.6435 90.00 90.00 90.00
Each line ends with the local moment (μB).
Fractional coordinates of all 4 atoms:
Be (0.5000, 0.5000, 0.5000)  0.00
Ir (0.0000, 0.0000, 0.6696)  0.13
Ir (0.0000, 0.0000, 0.3304)  0.13
Ba (0.5000, 0.5000, 0.0000)  0.00

Summary:
- energy of formation (eV per atom) = 0.285
- SG = P4/mmm, No. 123

[6]
Computed, not measured: a relaxed Ba2BeIr crystal at the GGA-PBEsol level of DFT.

Lattice parameters (Å, degrees): 3.2456 3.4618 9.3092 90.00 90.00 90.00
Fractional coordinates of all 4 atoms:
Be (0.0000, 0.0000, 0.3990)
Ir (0.5000, 0.5000, 0.3545)
Ba (0.0000, 0.0000, 0.0852)
Ba (0.5000, 0.5000, 0.6613)

Summary:
- energy of formation (eV per atom) = 0.154
- SG = Pmm2, No. 25

[7]
Computed, not measured: a relaxed BaBeIr2 crystal at the GGA-PBEsol level of DFT.

Lattice parameters (Å, degrees): 2.8668 3.6046 7.0822 90.00 90.00 90.00
Fractional coordinates of all 4 atoms:
Be (0.5000, 0.5000, 0.8574)
Ir (0.0000, 0.0000, 0.9748)
Ir (0.5000, 0.5000, 0.1696)
Ba (0.0000, 0.0000, 0.4982)

Summary:
- energy of formation (eV per atom) = 0.295
- SG = Pmm2, No. 25

[8]
Computed, not measured: a relaxed BaBe2Ir crystal at the GGA-PBEsol level of DFT.

Lattice parameters (Å, degrees): 4.7477 4.7477 8.1509 106.93 106.93 90.00
Fractional coordinates of all 8 atoms:
Be (0.6250, 0.8750, 0.7500)
Be (0.1250, 0.8750, 0.7500)
Be (0.1250, 0.8750, 0.2500)
Be (0.1250, 0.3750, 0.2500)
Ir (0.0000, 0.0000, 0.0000)
Ir (0.2500, 0.7500, 0.5000)
Ba (0.5000, 0.5000, 0.0000)
Ba (0.7500, 0.2500, 0.5000)

Summary:
- energy of formation (eV per atom) = 0.057
- offset from the most stable computed form (meV per atom) = 0
- SG = I4_1/amd, No. 141

[9]
Computed, not measured: a relaxed BaLaBeIr2 crystal at the GGA-PBEsol level of DFT.

Lattice parameters (Å, degrees): 4.9296 4.9296 6.0749 90.00 90.00 90.00
Fractional coordinates of all 5 atoms:
Be (0.5000, 0.5000, 0.5000)
Ir (0.0000, 0.5000, 0.0000)
Ir (0.5000, 0.0000, 0.0000)
Ba (0.0000, 0.0000, 0.5000)
La (0.0000, 0.0000, 0.0000)

Summary:
- energy of formation (eV per atom) = 1.611
- SG = P4/mmm, No. 123

[10]
Computed, not measured: a relaxed BaBeNb2Ir crystal at the GGA-PBEsol level of DFT.

Lattice parameters (Å, degrees): 4.9424 5.0228 5.0228 90.00 90.00 90.00
Fractional coordinates of all 5 atoms:
Be (0.5000, 0.5000, 0.5000)
Nb (0.0000, 0.0000, 0.5000)
Nb (0.0000, 0.5000, 0.0000)
Ir (0.5000, 0.0000, 0.0000)
Ba (0.0000, 0.0000, 0.0000)

Summary:
- energy of formation (eV per atom) = 3.008
- SG = P4/mmm, No. 123

[11]
Computed, not measured: a relaxed BaBe2IrRu crystal at the GGA-PBEsol level of DFT.

Lattice parameters (Å, degrees): 4.4486 4.4486 4.8350 90.00 90.00 90.00
Fractional coordinates of all 5 atoms:
Ru (0.0000, 0.0000, 0.5000)
Ir (0.0000, 0.0000, 0.0000)
Ba (0.5000, 0.5000, 0.5000)
Be (0.0000, 0.5000, 0.0000)
Be (0.5000, 0.0000, 0.0000)

Summary:
- energy of formation (eV per atom) = 0.446
- SG = P4/mmm, No. 123

[12]
Computed, not measured: a relaxed KBa3Be crystal at the GGA-PBEsol level of DFT.

Lattice parameters (Å, degrees): 6.5246 6.5246 6.5246 90.00 90.00 90.00
Each line ends with the local moment (μB).
Fractional coordinates of all 5 atoms:
Be (0.5000, 0.5000, 0.5000)  0.02
K (0.0000, 0.0000, 0.0000)  0.12
Ba (0.0000, 0.5000, 0.0000)  0.22
Ba (0.0000, 0.0000, 0.5000)  0.22
Ba (0.5000, 0.0000, 0.0000)  0.22

Summary:
- energy of formation (eV per atom) = 1.222
- SG = Pm-3m, No. 221

[13]
Computed, not measured: a relaxed KBaBe2 crystal at the GGA-PBEsol level of DFT.

Lattice parameters (Å, degrees): 4.2121 4.2121 9.4100 77.07 77.07 60.00
Fractional coordinates of all 4 atoms:
Be (0.2553, 0.2553, 0.2340)
Be (0.7447, 0.7447, 0.7660)
K (0.5000, 0.5000, 0.5000)
Ba (0.0000, 0.0000, 0.0000)

Summary:
- energy of formation (eV per atom) = 1.111
- SG = R-3m, No. 166

[14]
Computed, not measured: a relaxed KBaBe crystal at the GGA-PBEsol level of DFT.

Lattice parameters (Å, degrees): 4.5069 4.5069 8.1038 90.00 90.00 120.00
Fractional coordinates of all 3 atoms:
Be (0.3333, 0.6667, 0.6813)
K (0.6667, 0.3333, 0.4164)
Ba (0.0000, 0.0000, 0.9023)

Summary:
- energy of formation (eV per atom) = 0.706
- SG = P3m1, No. 156

[15]
Computed, not measured: a relaxed BaLa3Be crystal at the GGA-PBEsol level of DFT.

Lattice parameters (Å, degrees): 5.6579 5.6579 5.6579 90.00 90.00 90.00
Fractional coordinates of all 5 atoms:
Be (0.0000, 0.0000, 0.0000)
Ba (0.5000, 0.5000, 0.5000)
La (0.0000, 0.5000, 0.0000)
La (0.0000, 0.0000, 0.5000)
La (0.5000, 0.0000, 0.0000)

Summary:
- energy of formation (eV per atom) = 0.315
- SG = Pm-3m, No. 221

[16]
Computed, not measured: a relaxed Ba2LaBe crystal at the GGA-PBEsol level of DFT.

Lattice parameters (Å, degrees): 4.9594 4.9594 6.4570 112.58 112.58 90.00
Fractional coordinates of all 4 atoms:
Be (0.5000, 0.5000, 0.0000)
Ba (0.7500, 0.2500, 0.5000)
Ba (0.2500, 0.7500, 0.5000)
La (0.0000, 0.0000, 0.0000)

Summary:
- energy of formation (eV per atom) = 0.543
- SG = I4/mmm, No. 139

[17]
Computed, not measured: a relaxed BaLi2Be crystal at the GGA-PBEsol level of DFT.

Lattice parameters (Å, degrees): 4.4330 4.4330 5.5806 90.00 90.00 90.00
Fractional coordinates of all 4 atoms:
Be (0.0000, 0.0000, 0.5000)
Ba (0.5000, 0.5000, 0.5000)
Li (0.0000, 0.5000, 0.0000)
Li (0.5000, 0.0000, 0.0000)

Summary:
- energy of formation (eV per atom) = 0.526
- SG = P4/mmm, No. 123

[18]
Computed, not measured: a relaxed Ba2LiBe crystal at the GGA-PBEsol level of DFT.

Lattice parameters (Å, degrees): 3.9700 4.2085 10.4626 99.29 90.00 118.14
Fractional coordinates of all 4 atoms:
Ba (0.7336, 0.4672, 0.7078)
Ba (0.2664, 0.5328, 0.2922)
Be (0.0000, 0.0000, 0.5000)
Li (0.5000, 0.0000, 0.0000)

Summary:
- energy of formation (eV per atom) = 0.484
- SG = C2/m, No. 12

[19]
Computed, not measured: a relaxed BaLiBeSi2 crystal at the GGA-PBEsol level of DFT.

Lattice parameters (Å, degrees): 4.6020 4.6020 5.1175 90.00 90.00 90.00
Fractional coordinates of all 5 atoms:
Be (0.5000, 0.5000, 0.5000)
Si (0.0000, 0.5000, 0.0000)
Si (0.5000, 0.0000, 0.0000)
Ba (0.0000, 0.0000, 0.5000)
Li (0.0000, 0.0000, 0.0000)

Summary:
- E (eV per atom) = -3.14
- SG = P4/mmm, No. 123

[20]
Computed, not measured: a relaxed BaLi2BeTl crystal at the GGA-PBEsol level of DFT.

Lattice parameters (Å, degrees): 5.2403 5.9264 5.9264 90.00 90.00 90.00
Fractional coordinates of all 5 atoms:
Be (0.5000, 0.0000, 0.0000)
Tl (0.5000, 0.5000, 0.5000)
Ba (0.0000, 0.0000, 0.0000)
Li (0.0000, 0.0000, 0.5000)
Li (0.0000, 0.5000, 0.0000)

Summary:
- energy of formation (eV per atom) = 1.194
- SG = P4/mmm, No. 123

[21]
Computed, not measured: a relaxed BaMg2Be crystal at the GGA-PBEsol level of DFT.

Lattice parameters (Å, degrees): 4.5600 4.5600 5.3044 90.00 90.00 90.00
Fractional coordinates of all 4 atoms:
Be (0.0000, 0.0000, 0.5000)
Mg (0.0000, 0.5000, 0.0000)
Mg (0.5000, 0.0000, 0.0000)
Ba (0.5000, 0.5000, 0.5000)

Summary:
- energy of formation (eV per atom) = 0.476
- SG = P4/mmm, No. 123

[22]
Computed, not measured: a relaxed BaMg2Be crystal at the GGA-PBEsol level of DFT.

Lattice parameters (Å, degrees): 3.2830 6.0263 6.0263 115.45 90.00 90.00
Fractional coordinates of all 4 atoms:
Be (0.5000, 0.5000, 0.5000)
Mg (0.0000, 0.5000, 0.0000)
Mg (0.0000, 0.0000, 0.5000)
Ba (0.5000, 0.0000, 0.0000)

Summary:
- energy of formation (eV per atom) = 0.644
- SG = Cmmm, No. 65

[23]
Computed, not measured: a relaxed Ba3MnBe crystal at the GGA-PBEsol level of DFT.

Lattice parameters (Å, degrees): 5.8334 5.8334 5.8334 90.00 90.00 90.00
Each line ends with the local moment (μB).
Fractional coordinates of all 5 atoms:
Be (0.5000, 0.5000, 0.5000)  0.00
Mn (0.0000, 0.0000, 0.0000)  2.82
Ba (0.0000, 0.5000, 0.0000)  -0.07
Ba (0.0000, 0.0000, 0.5000)  -0.07
Ba (0.5000, 0.0000, 0.0000)  -0.07

Summary:
- energy of formation (eV per atom) = 0.918
- SG = Pm-3m, No. 221

[24]
Computed, not measured: a relaxed BaMnBe3 crystal at the GGA-PBEsol level of DFT.

Lattice parameters (Å, degrees): 4.4574 4.4574 4.4574 90.00 90.00 90.00
Each line ends with the local moment (μB).
Fractional coordinates of all 5 atoms:
Be (0.0000, 0.5000, 0.0000)  -0.04
Be (0.0000, 0.0000, 0.5000)  -0.04
Be (0.5000, 0.0000, 0.0000)  -0.04
Mn (0.0000, 0.0000, 0.0000)  1.75
Ba (0.5000, 0.5000, 0.5000)  -0.10

Summary:
- energy of formation (eV per atom) = 0.703
- SG = Pm-3m, No. 221

[25]
Computed, not measured: a relaxed BaMn3Be crystal at the GGA-PBEsol level of DFT.

Lattice parameters (Å, degrees): 4.9296 4.9296 4.9296 90.00 90.00 90.00
Each line ends with the local moment (μB).
Fractional coordinates of all 5 atoms:
Be (0.5000, 0.5000, 0.5000)  -0.04
Mn (0.0000, 0.5000, 0.0000)  3.39
Mn (0.0000, 0.0000, 0.5000)  3.39
Mn (0.5000, 0.0000, 0.0000)  3.39
Ba (0.0000, 0.0000, 0.0000)  -0.26

Summary:
- energy of formation (eV per atom) = 2.626
- SG = Pm-3m, No. 221

[26]
Computed, not measured: a relaxed BaMnBeTc2 crystal at the GGA-PBEsol level of DFT.

Lattice parameters (Å, degrees): 4.3874 4.4360 4.4360 90.00 90.00 90.00
Each line ends with the local moment (μB).
Fractional coordinates of all 5 atoms:
Be (0.0000, 0.0000, 0.0000)  -0.03
Mn (0.5000, 0.0000, 0.0000)  3.55
Ba (0.5000, 0.5000, 0.5000)  0.11
Tc (0.0000, 0.0000, 0.5000)  0.79
Tc (0.0000, 0.5000, 0.0000)  0.79

Summary:
- energy of formation (eV per atom) = 1.085
- SG = P4/mmm, No. 123

[27]
Computed, not measured: a relaxed BaBeMo2 crystal at the GGA-PBEsol level of DFT.

Lattice parameters (Å, degrees): 2.7769 4.9026 6.0504 113.90 103.27 90.00
Fractional coordinates of all 4 atoms:
Be (0.0000, 0.5000, 0.0000)
Mo (0.6999, 0.6999, 0.3999)
Mo (0.3001, 0.3001, 0.6001)
Ba (0.5000, 0.0000, 0.0000)

Summary:
- energy of formation (eV per atom) = 1.035
- SG = Immm, No. 71

[28]
Computed, not measured: a relaxed BaBeMo2 crystal at the GGA-PBEsol level of DFT.

Lattice parameters (Å, degrees): 3.4479 4.4596 4.4596 90.00 90.00 90.00
Fractional coordinates of all 4 atoms:
Be (0.5000, 0.0000, 0.0000)
Mo (0.0000, 0.0000, 0.5000)
Mo (0.0000, 0.5000, 0.0000)
Ba (0.5000, 0.5000, 0.5000)

Summary:
- energy of formation (eV per atom) = 1.493
- SG = P4/mmm, No. 123

[29]
Computed, not measured: a relaxed Ba3BeMo crystal at the GGA-PBEsol level of DFT.

Lattice parameters (Å, degrees): 5.7923 5.7923 5.7923 90.00 90.00 90.00
Fractional coordinates of all 5 atoms:
Be (0.5000, 0.5000, 0.5000)
Mo (0.0000, 0.0000, 0.0000)
Ba (0.0000, 0.5000, 0.0000)
Ba (0.0000, 0.0000, 0.5000)
Ba (0.5000, 0.0000, 0.0000)

Summary:
- energy of formation (eV per atom) = 1.122
- SG = Pm-3m, No. 221

[30]
Computed, not measured: a relaxed BaBeMo2 crystal at the GGA-PBEsol level of DFT.

Lattice parameters (Å, degrees): 4.0135 4.0135 5.3234 112.15 112.15 90.00
Fractional coordinates of all 4 atoms:
Be (0.0000, 0.0000, 0.0000)
Mo (0.7500, 0.2500, 0.5000)
Mo (0.2500, 0.7500, 0.5000)
Ba (0.5000, 0.5000, 0.0000)

Summary:
- energy of formation (eV per atom) = 1.457
- SG = I4/mmm, No. 139